Record 1
First-principles (GGA-PBE) data for a relaxed structure of DyAlOs, as listed in the Alexandria database.

Output
Space-group type ... No. 186

Cell: 4.2113 4.2113 8.9515 Å, 90.00 90.00 120.00°
Closest atoms and distances in Å follow each position.
Atoms (fractional coordinates):
Dy1 0.3333 0.6667 0.0000  4 Os 2.82-2.94
Dy2 0.6667 0.3333 0.5000  4 Os 2.82-2.94
Al1 0.0000 0.0000 0.2722  3 Os 2.46
Al2 0.0000 0.0000 0.7722  3 Os 2.46
Os1 0.3333 0.6667 0.3151  3 Al 2.46
Os2 0.6667 0.3333 0.8151  3 Al 2.46

***

Record 2
First-principles (GGA-PBE) data for a relaxed structure of Dy2AlOs, as listed in the Alexandria database.

Output
Space-group type ... No. 123

Cell: 3.4907 3.4907 7.1090 Å, 90.00 90.00 90.00°
Closest atoms and distances in Å follow each position.
Atoms (fractional coordinates):
Dy1 0.0000 0.0000 0.2297  4 Os 2.96, 4 Al 3.13, 1 Dy 3.27
Dy2 0.0000 0.0000 0.7703  4 Os 2.96, 4 Al 3.13, 1 Dy 3.27
Al1 0.5000 0.5000 0.5000  8 Dy 3.13, 4 Al 3.49
Os1 0.5000 0.5000 0.0000  8 Dy 2.96

***

Record 3
First-principles (GGA-PBE) data for a relaxed structure of Dy2Al3Os, as listed in the Alexandria database.

Output
Space-group type ... No. 166

Cell: 5.4334 5.4334 5.4334 Å, 60.49 60.49 60.49°
Closest atoms and distances in Å follow each position.
Atoms (fractional coordinates):
Dy1 0.1277 0.1277 0.1277  9 Al 3.15-3.22, 3 Os 3.20, 4 Dy 3.32-3.39
Dy2 0.8723 0.8723 0.8723  9 Al 3.15-3.22, 3 Os 3.20, 4 Dy 3.32-3.39
Al1 0.0000 0.5000 0.5000  2 Os 2.72, 4 Al 2.74
Al2 0.5000 0.0000 0.5000  2 Os 2.72, 4 Al 2.74
Al3 0.5000 0.5000 0.0000  2 Os 2.72, 4 Al 2.74
Os1 0.5000 0.5000 0.5000  6 Al 2.72

***

Record 4
First-principles (GGA-PBE) data for a relaxed structure of Dy2AlOs, as listed in the Alexandria database.

Output
Space-group type ... No. 166

Cell: 3.3261 3.3261 31.1262 Å, 90.00 90.00 120.00°
Closest atoms and distances in Å follow each position.
Atoms (fractional coordinates):
Dy1 0.0000 0.0000 0.1001  3 Os 2.83, 1 Al 3.12
Dy2 0.0000 0.0000 0.8999  3 Os 2.83, 1 Al 3.12
Dy3 0.3333 0.6667 0.5666  3 Os 2.83, 1 Al 3.12
Dy4 0.3333 0.6667 0.7668  3 Os 2.83, 1 Al 3.12
Dy5 0.6667 0.3333 0.2332  3 Os 2.83, 1 Al 3.12
Dy6 0.6667 0.3333 0.4334  3 Os 2.83, 1 Al 3.12
Al1 0.0000 0.0000 0.0000  2 Dy 3.12, 6 Al 3.33
Al2 0.3333 0.6667 0.6667  2 Dy 3.12, 6 Al 3.33
Al3 0.6667 0.3333 0.3333  2 Dy 3.12, 6 Al 3.33
Os1 0.0000 0.0000 0.5000  6 Dy 2.83
Os2 0.3333 0.6667 0.1667  6 Dy 2.83
Os3 0.6667 0.3333 0.8333  6 Dy 2.83

***

Record 5
First-principles (GGA-PBE) data for a relaxed structure of DyAlOs, as listed in the Alexandria database.

Output
Space-group type ... No. 74

Cell: 5.4606 5.4717 7.4030 Å, 90.00 90.00 90.00°
Closest atoms and distances in Å follow each position.
Atoms (fractional coordinates):
Dy1 0.0000 0.2500 0.1157  6 Os 3.03-3.22, 6 Al 3.16-3.17, 4 Dy 3.23-3.38
Dy2 0.0000 0.7500 0.8843  6 Os 3.03-3.22, 6 Al 3.16-3.17, 4 Dy 3.23-3.38
Dy3 0.5000 0.2500 0.3843  6 Os 3.03-3.22, 6 Al 3.16-3.17, 4 Dy 3.23-3.38
Dy4 0.5000 0.7500 0.6157  6 Os 3.03-3.22, 6 Al 3.16-3.17, 4 Dy 3.23-3.38
Al1 0.0000 0.0000 0.5000  4 Os 2.68, 2 Al 2.74
Al2 0.0000 0.5000 0.5000  4 Os 2.68, 2 Al 2.74
Al3 0.5000 0.0000 0.0000  4 Os 2.68, 2 Al 2.74
Al4 0.5000 0.5000 0.0000  4 Os 2.68, 2 Al 2.74
Os1 0.2500 0.2500 0.7500  4 Al 2.68, 2 Os 2.73
Os2 0.2500 0.7500 0.2500  4 Al 2.68, 2 Os 2.73
Os3 0.7500 0.2500 0.7500  4 Al 2.68, 2 Os 2.73
Os4 0.7500 0.7500 0.2500  4 Al 2.68, 2 Os 2.73

***

Record 6
First-principles (GGA-PBE) data for a relaxed structure of DyAlOs, as listed in the Alexandria database.

Output
Space-group type ... No. 187

Cell: 4.3489 4.3489 3.6179 Å, 90.00 90.00 120.00°
Closest atoms and distances in Å follow each position.
Atoms (fractional coordinates):
Dy1 0.0000 0.0000 0.0000  6 Al 3.09, 6 Os 3.09
Al1 0.3333 0.6667 0.5000  3 Os 2.51
Os1 0.6667 0.3333 0.5000  3 Al 2.51

***

Record 7
First-principles (GGA-PBE) data for a relaxed structure of Dy8Al2Os, as listed in the Alexandria database.

Output
Space-group type ... No. 12

Cell: 9.1780 9.1780 6.8953 Å, 110.06 110.06 32.79°
Closest atoms and distances in Å follow each position.
Atoms (fractional coordinates):
Dy1 0.0159 0.0159 0.2836  2 Os 3.05, 1 Al 3.14, 3 Dy 3.23-3.26
Dy2 0.2012 0.2012 0.7818  3 Al 3.03-3.31, 2 Dy 3.39
Dy3 0.3488 0.3488 0.5577  1 Os 2.83, 1 Al 3.12
Dy4 0.4040 0.4040 0.0752  1 Os 2.81
Dy5 0.5960 0.5960 0.9248  1 Os 2.81
Dy6 0.6512 0.6512 0.4423  1 Os 2.83, 1 Al 3.12
Dy7 0.7988 0.7988 0.2182  3 Al 3.03-3.31, 2 Dy 3.39
Dy8 0.9841 0.9841 0.7164  2 Os 3.05, 1 Al 3.14, 3 Dy 3.23-3.26
Al1 0.1795 0.1795 0.1988  9 Dy 3.03-3.31
Al2 0.8205 0.8205 0.8012  9 Dy 3.03-3.31
Os1 0.5000 0.5000 0.5000  8 Dy 2.81-3.05

***

Record 8
First-principles (GGA-PBE) data for a relaxed structure of Dy4Al12Os, as listed in the Alexandria database.

Output
Space-group type ... No. 229

Cell: 7.4890 7.4890 7.4890 Å, 109.47 109.47 109.47°
Closest atoms and distances in Å follow each position.
Atoms (fractional coordinates):
Dy1 0.0000 0.0000 0.5000  12 Al 3.06-3.07
Dy2 0.0000 0.5000 0.0000  12 Al 3.06-3.07
Dy3 0.5000 0.0000 0.0000  12 Al 3.06-3.07
Dy4 0.5000 0.5000 0.5000  12 Al 3.06-3.07
Al1 0.0000 0.2872 0.2872  1 Os 2.48
Al2 0.0000 0.7128 0.7128  1 Os 2.48
Al3 0.2500 0.5000 0.7500  8 Al 2.84-3.06, 4 Dy 3.06
Al4 0.2500 0.7500 0.5000  8 Al 2.84-3.06, 4 Dy 3.06
Al5 0.2872 0.0000 0.2872  1 Os 2.48
Al6 0.2872 0.2872 0.0000  1 Os 2.48
Al7 0.5000 0.2500 0.7500  8 Al 2.84-3.06, 4 Dy 3.06
Al8 0.5000 0.7500 0.2500  8 Al 2.84-3.06, 4 Dy 3.06
Al9 0.7128 0.0000 0.7128  1 Os 2.48
Al10 0.7128 0.7128 0.0000  1 Os 2.48
Al11 0.7500 0.2500 0.5000  8 Al 2.84-3.06, 4 Dy 3.06
Al12 0.7500 0.5000 0.2500  8 Al 2.84-3.06, 4 Dy 3.06
Os1 0.0000 0.0000 0.0000  6 Al 2.48

***

Number 1: formation energy from the elements -0.3 eV/f.u.. Number 2: formation energy from the elements -1.2 eV/f.u.. Number 3: formation energy from the elements -3.1 eV/f.u.. Number 4: formation energy from the elements 1.4 eV/f.u.. Number 5: formation energy from the elements -1.4 eV/f.u.. Number 6: formation energy from the elements -1.0 eV/f.u.. Number 7: formation energy from the elements -2.3 eV/f.u.. Number 8: formation energy from the elements -8.0 eV/f.u..